Entry from the Alexandria database: a relaxed structure of CaZrCu2 (GGA-PBE).

Mass density, Mg/m³: 5.4
Total moment, μB per formula unit: 0.0
Energy relative to the elements, meV/atom: 78

Cell lengths 3.299, 3.299, 7.366 Å; angles 90.00, 90.00, 90.00 degrees
Element x y z (fractional)
1 Ca 0.500 0.500 0.798
2 Cu 0.000 0.000 0.062
3 Cu 0.500 0.500 0.210
4 Zr 0.000 0.000 0.430